{
  "formula": "Ac2Cu3Pt2",
  "functional": "PBE-GGA",
  "state": "relaxed",
  "lattice_angstrom": [[-1.899, 3.478, -1.840], [1.842, -3.848, -3.986], [-5.965, -2.440, 1.544]],
  "species": ["Cu", "Pt", "Cu", "Ac", "Pt", "Ac", "Cu"],
  "fractional_positions": [[0.500, 0.000, 0.000], [0.889, 0.777, 0.809], [0.564, 0.127, 0.375], [0.167, 0.335, 0.729], [0.111, 0.223, 0.191], [0.833, 0.665, 0.271], [0.436, 0.873, 0.625]],
  "energy_ev_per_atom": -5.255,
  "dos_ef_per_ev_atom": 0.361
}